No. 1
This record from Alexandria describes a geometry-optimized Pr6AuS5 structure. The functional is PBE-GGA.

abc: 7.176 7.187 7.191
angles: 60.02 80.40 70.50
Fractional positions:
Pr  0.256  0.258  0.000
Pr  0.256  0.916  0.655
Pr  0.256  0.571  0.345
Pr  0.744  0.084  0.345
S  0.500  0.500  0.000
S  0.500  0.164  0.671
Pr  0.744  0.742  0.000
S  0.500  0.836  0.329
Pr  0.744  0.429  0.655
Au  0.000  0.000  0.000
S  0.000  0.334  0.332
S  0.000  0.666  0.668

Calculated values
E_form (uncorrected)	-1.812	eV/atom

***

No. 2
This record from Alexandria describes a geometry-optimized OsPbCl4 structure. The functional is PBE-GGA.

abc: 5.920 5.920 5.920
angles: 60.00 60.00 60.00
Last column: magnetic moment on the atom in μB.
Fractional positions:
Cl  0.375  0.874  0.375  0.45
Pb  0.000  0.000  0.000  -0.04
Cl  0.375  0.375  0.375  0.45
Os  0.750  0.750  0.750  3.41
Cl  0.874  0.375  0.375  0.45
Cl  0.375  0.375  0.874  0.45

Calculated values
E_form (uncorrected)	1.108	eV/atom

***

No. 3
This record from Alexandria describes a geometry-optimized Y2ZrRe structure. The functional is PBE-GGA.

abc: 3.424 3.424 8.545
angles: 90.00 90.00 90.00
Last column: magnetic moment on the atom in μB.
Fractional positions:
Zr  0.000  0.000  0.559  0.15
Y  0.500  0.500  0.281  0.23
Y  0.000  0.000  0.936  0.01
Re  0.500  0.500  0.724  0.03

Calculated values
energy relative to the elements	31	meV/atom

***

No. 4
This record from Alexandria describes a geometry-optimized CaLuCd2 structure. The functional is PBE-GGA.

abc: 3.753 3.753 7.491
angles: 90.00 90.00 90.00
Fractional positions:
Cd  0.000  0.000  0.769
Ca  0.500  0.500  0.500
Lu  0.500  0.500  0.000
Cd  0.000  0.000  0.231

Calculated values
energy relative to the elements	-335	meV/atom

***

No. 5
This record from Alexandria describes a geometry-optimized Ho3Zn2Ir7 structure. The functional is PBE-GGA.

abc: 5.403 5.403 8.902
angles: 72.33 72.33 60.00
Fractional positions:
Zn  0.335  0.335  0.994
Ir  0.413  0.924  0.250
Zn  0.665  0.665  0.006
Ir  0.076  0.587  0.750
Ho  0.141  0.141  0.577
Ir  0.413  0.413  0.250
Ir  0.924  0.413  0.250
Ir  0.587  0.587  0.750
Ir  0.587  0.076  0.750
Ir  0.500  0.500  0.500
Ho  0.000  0.000  0.000
Ho  0.859  0.859  0.423

Calculated values
energy relative to the elements	-658	meV/atom

***

No. 6
This record from Alexandria describes a geometry-optimized ZnCSe2 structure. The functional is PBE-GGA.

abc: 8.862 8.862 8.862
angles: 19.86 19.86 19.86
Fractional positions:
Se  0.113  0.113  0.113
C  0.500  0.500  0.500
Zn  0.000  0.000  0.000
Se  0.887  0.887  0.887

Calculated values
E_form (uncorrected)	1.102	eV/atom

***

No. 7
This record from Alexandria describes a geometry-optimized LiLa2Ga3Pd4 structure. The functional is PBE-GGA.

abc: 4.305 4.305 10.669
angles: 90.00 90.00 90.00
Fractional positions:
Pd  0.500  0.000  0.634
Ga  0.500  0.000  0.873
Pd  0.500  0.500  0.000
Ga  0.000  0.500  0.127
Li  0.500  0.500  0.500
Pd  0.000  0.500  0.366
La  0.000  0.500  0.752
Pd  0.000  0.000  0.000
Ga  0.000  0.000  0.500
La  0.500  0.000  0.248

Calculated values
energy relative to the elements	-785	meV/atom

***

No. 8
This record from Alexandria describes a geometry-optimized Li2InRu structure. The functional is PBE-GGA.

abc: 2.719 4.309 5.485
angles: 90.00 90.00 90.00
Last column: magnetic moment on the atom in μB.
Fractional positions:
Li  0.000  0.000  0.030  0.00
Li  0.000  0.000  0.470  0.00
Ru  0.500  0.500  0.250  0.18
In  0.500  0.500  0.750  0.00

Calculated values
energy relative to the elements	92	meV/atom

***

No. 9
This record from Alexandria describes a geometry-optimized TeWAu2 structure. The functional is PBE-GGA.

abc: 5.141 5.141 5.141
angles: 131.02 131.02 71.79
Fractional positions:
W  0.750  0.250  0.500
Au  0.000  0.000  0.000
Te  0.500  0.500  0.000
Au  0.250  0.750  0.500

Calculated values
E_form (uncorrected)	0.644	eV/atom

***

No. 10
This record from Alexandria describes a geometry-optimized In2Ga6Pb structure. The functional is PBE-GGA.

abc: 3.321 8.475 8.475
angles: 61.75 78.70 78.70
Fractional positions:
In  0.638  0.862  0.862
Ga  0.181  0.489  0.149
Pb  0.500  0.500  0.500
Ga  0.181  0.149  0.489
In  0.362  0.138  0.138
Ga  0.000  0.809  0.191
Ga  0.819  0.851  0.511
Ga  0.819  0.511  0.851
Ga  0.000  0.191  0.809

Calculated values
energy relative to the elements	72	meV/atom

***

No. 11
This record from Alexandria describes a geometry-optimized SmTaP2Rh5 structure. The functional is PBE-GGA.

abc: 4.040 4.040 10.210
angles: 90.00 90.00 90.00
Fractional positions:
Rh  0.500  0.000  0.168
P  0.000  0.000  0.719
Rh  0.000  0.500  0.832
Sm  0.500  0.500  0.500
Ta  0.000  0.000  0.000
Rh  0.000  0.000  0.500
Rh  0.500  0.000  0.832
Rh  0.000  0.500  0.168
P  0.000  0.000  0.281

Calculated values
energy relative to the elements	-444	meV/atom

***

No. 12
This record from Alexandria describes a geometry-optimized Dy2Sn2Pd5 structure. The functional is PBE-GGA.

abc: 7.089 6.975 9.171
angles: 112.35 112.74 90.00
Fractional positions:
Pd  0.503  0.223  0.675
Pd  0.497  0.549  0.325
Sn  0.709  0.941  0.500
Pd  0.798  0.233  0.968
Pd  0.329  0.049  0.325
Pd  0.945  0.604  0.500
Dy  0.955  0.427  0.764
Dy  0.045  0.663  0.236
Pd  0.670  0.733  0.968
Sn  0.000  0.932  0.000
Pd  0.671  0.723  0.675
Pd  0.055  0.104  0.500
Pd  0.202  0.264  0.032
Sn  0.291  0.441  0.500
Sn  0.500  0.432  0.000
Dy  0.309  0.927  0.764
Dy  0.691  0.163  0.236
Pd  0.330  0.764  0.032

Calculated values
energy relative to the elements	-667	meV/atom

***

No. 13
This record from Alexandria describes a geometry-optimized KAgPRh structure. The functional is PBE-GGA.

abc: 3.933 3.933 12.268
angles: 90.00 90.00 90.00
Fractional positions:
P  0.250  0.250  0.105
K  0.250  0.250  0.740
Ag  0.750  0.250  0.500
P  0.750  0.750  0.895
Rh  0.250  0.750  0.000
K  0.750  0.750  0.260
Ag  0.250  0.750  0.500
Rh  0.750  0.250  0.000

Calculated values
energy relative to the elements	-438	meV/atom

***

No. 14
This record from Alexandria describes a geometry-optimized CuAs2Cl structure. The functional is PBE-GGA.

abc: 7.081 7.081 3.672
angles: 86.01 86.01 29.87
Fractional positions:
Cu  0.297  0.297  0.996
As  0.123  0.123  0.236
Cl  0.398  0.398  0.475
As  0.681  0.681  0.793

Calculated values
E_form (uncorrected)	-0.116	eV/atom

***

No. 15
This record from Alexandria describes a geometry-optimized Tl2MoOs structure. The functional is PBE-GGA.

abc: 7.748 7.748 6.150
angles: 50.95 50.95 90.00
Last column: magnetic moment on the atom in μB.
Fractional positions:
Tl  0.375  0.362  0.750  -0.01
Os  0.000  0.000  0.000  -0.10
Mo  0.250  0.750  0.500  1.20
Tl  0.875  0.888  0.750  -0.01
Mo  0.500  0.500  0.000  1.21
Tl  0.638  0.125  0.250  -0.01
Tl  0.112  0.625  0.250  -0.02
Os  0.750  0.250  0.500  -0.10

Calculated values
energy relative to the elements	1392	meV/atom

***

No. 16
This record from Alexandria describes a geometry-optimized Rb2BeTl structure. The functional is PBE-GGA.

abc: 13.419 13.419 9.772
angles: 46.64 46.64 90.00
Fractional positions:
Be  0.250  0.750  0.500
Tl  0.000  0.000  0.000
Tl  0.750  0.250  0.500
Be  0.500  0.500  0.000
Rb  0.312  0.625  0.250
Rb  0.438  0.125  0.250
Rb  0.875  0.688  0.750
Rb  0.375  0.562  0.750

Calculated values
energy relative to the elements	323	meV/atom

***

No. 17
This record from Alexandria describes a geometry-optimized Np2GeRu structure. The functional is PBE-GGA.

abc: 4.847 3.703 3.703
angles: 90.00 90.00 90.00
Fractional positions:
Ge  0.500  0.500  0.500
Np  0.000  0.500  0.000
Ru  0.500  0.000  0.000
Np  0.000  0.000  0.500

Calculated values
energy relative to the elements	-27	meV/atom

***

No. 18
This record from Alexandria describes a geometry-optimized Y2FeAg structure. The functional is PBE-GGA.

abc: 8.463 8.463 8.463
angles: 24.98 24.98 24.98
Last column: magnetic moment on the atom in μB.
Fractional positions:
Fe  0.750  0.750  0.750  1.47
Y  0.487  0.487  0.487  -0.18
Ag  0.250  0.250  0.250  -0.02
Y  0.013  0.013  0.013  -0.18

Calculated values
energy relative to the elements	144	meV/atom

***

No. 19
This record from Alexandria describes a geometry-optimized Rb2Ga2Pt3 structure. The functional is PBE-GGA.

abc: 4.196 6.906 7.241
angles: 74.60 73.16 72.31
Fractional positions:
Ga  0.905  0.970  0.220
Rb  0.153  0.438  0.255
Ga  0.095  0.030  0.780
Rb  0.847  0.562  0.745
Pt  0.666  0.080  0.588
Pt  0.500  0.000  0.000
Pt  0.334  0.920  0.412

Calculated values
energy relative to the elements	-382	meV/atom

***

No. 20
This record from Alexandria describes a geometry-optimized Ho4ErCd structure. The functional is PBE-GGA.

abc: 6.267 8.841 8.246
angles: 112.83 99.85 112.93
Fractional positions:
Ho  0.365  0.907  0.618
Er  0.339  0.589  0.179
Ho  0.213  0.592  0.753
Ho  0.753  0.711  0.618
Cd  0.750  0.000  0.999
Ho  0.040  0.161  0.753
Ho  0.247  0.289  0.382
Ho  0.787  0.408  0.247
Er  0.661  0.411  0.821
Ho  0.960  0.839  0.247
Cd  0.250  0.000  0.001
Ho  0.635  0.093  0.382

Calculated values
energy relative to the elements	12	meV/atom